Below is crystalline Ac2SmPt at its relaxed geometry, with properties calculated at the PBE level.

abc: 4.197 4.197 10.045
angles: 77.94 77.94 60.00
Fractional coordinates of all 4 atoms:
Ac  0.271  0.271  0.187
Ac  0.062  0.062  0.813
Sm  0.500  0.500  0.500
Pt  0.667  0.667  0.000

Results
E above lowest polymorph (meV per atom): 29
Symmetry: R3m
Calculated total energy (eV/atom): -5.22
Calculated volume (Å³ per cell): 148.7
Size of the total moment (Bohr magnetons per cell): 0.00
Energy relative to the elements (kJ per mole of atoms): -45.6

***

Below is crystalline Pr3DyPb2 at its relaxed geometry, with properties calculated at the PBE level.

abc: 4.704 4.704 8.909
angles: 90.00 90.00 90.00
Fractional coordinates of all 6 atoms:
Pb  0.000  0.500  0.280
Pb  0.500  0.000  0.720
Pr  0.000  0.500  0.653
Pr  0.000  0.000  0.000
Pr  0.500  0.000  0.347
Dy  0.500  0.500  0.000

Results
E above lowest polymorph (meV per atom): 0
Symmetry: P-4m2
Calculated total energy (eV/atom): -4.83
Calculated volume (Å³ per cell): 197.1
Size of the total moment (Bohr magnetons per cell): 0.00
Energy relative to the elements (kJ per mole of atoms): -42.3